## i
! PBE-GGA Dy2TmCd4, relaxed; values from VASP
! Crystal system: tetragonal
! Symmetry: No. 139
&SYSTEM
  ibrav = 0, nat = 7, ntyp = 3
/
ATOMIC_SPECIES
Dy 162.50 Dy.upf
Tm 168.93 Tm.upf
Cd 112.41 Cd.upf
CELL_PARAMETERS angstrom
-2.648 2.648 6.887
2.648 -2.648 6.887
2.648 2.648 -6.887
ATOMIC_POSITIONS crystal
Dy 0.242 0.242 0.000
Dy 0.758 0.758 0.000
Tm 0.500 0.500 0.000
Cd 0.114 0.614 0.500
Cd 0.386 0.886 0.500
Cd 0.614 0.114 0.500
Cd 0.886 0.386 0.500


## ii
! PBE-GGA Dy2TmCd4, relaxed; values from VASP
! Crystal system: tetragonal
! Symmetry: No. 139
&SYSTEM
  ibrav = 0, nat = 7, ntyp = 3
/
ATOMIC_SPECIES
Dy 162.50 Dy.upf
Tm 168.93 Tm.upf
Cd 112.41 Cd.upf
CELL_PARAMETERS angstrom
-2.779 2.779 7.776
2.779 -2.779 7.776
2.779 2.779 -7.776
ATOMIC_POSITIONS crystal
Dy 0.103 0.103 0.000
Dy 0.897 0.897 0.000
Tm 0.500 0.500 0.000
Cd 0.000 0.500 0.500
Cd 0.306 0.306 0.000
Cd 0.500 0.000 0.500
Cd 0.694 0.694 0.000


Stability check: which of them is most stable? i.


## i
! PBE-GGA Dy2Tm2Cd, relaxed; values from VASP
! Crystal system: tetragonal
! Symmetry: No. 141
&SYSTEM
  ibrav = 0, nat = 10, ntyp = 3
/
ATOMIC_SPECIES
Dy 162.50 Dy.upf
Tm 168.93 Tm.upf
Cd 112.41 Cd.upf
CELL_PARAMETERS angstrom
-2.517 2.517 12.361
2.517 -2.517 12.361
2.517 2.517 -12.361
ATOMIC_POSITIONS crystal
Dy 0.048 0.298 0.750
Dy 0.298 0.048 0.250
Dy 0.702 0.952 0.750
Dy 0.952 0.702 0.250
Tm 0.199 0.449 0.750
Tm 0.449 0.199 0.250
Tm 0.551 0.801 0.750
Tm 0.801 0.551 0.250
Cd 0.125 0.875 0.250
Cd 0.875 0.125 0.750


## ii
! PBE-GGA Dy2Tm2Cd, relaxed; values from VASP
! Crystal system: tetragonal
! Symmetry: No. 139
&SYSTEM
  ibrav = 0, nat = 5, ntyp = 3
/
ATOMIC_SPECIES
Dy 162.50 Dy.upf
Tm 168.93 Tm.upf
Cd 112.41 Cd.upf
CELL_PARAMETERS angstrom
-1.760 1.760 11.627
1.760 -1.760 11.627
1.760 1.760 -11.627
ATOMIC_POSITIONS crystal
Dy 0.196 0.196 0.000
Dy 0.804 0.804 0.000
Tm 0.411 0.411 0.000
Tm 0.589 0.589 0.000
Cd 0.000 0.000 0.000


Stability check: which of them is most stable? ii.


## i
! PBE-GGA DyYCd, relaxed; values from VASP
! Crystal system: tetragonal
! Symmetry: No. 107
&SYSTEM
  ibrav = 0, nat = 3, ntyp = 3
/
ATOMIC_SPECIES
Dy 162.50 Dy.upf
Y 88.91 Y.upf
Cd 112.41 Cd.upf
CELL_PARAMETERS angstrom
-1.811 1.811 6.505
1.811 -1.811 6.505
1.811 1.811 -6.505
ATOMIC_POSITIONS crystal
Dy 0.000 0.000 0.000
Y 0.689 0.689 0.000
Cd 0.345 0.345 0.000


## ii
! PBE-GGA DyYCd, relaxed; values from VASP
! Crystal system: trigonal
! Symmetry: No. 156
&SYSTEM
  ibrav = 0, nat = 3, ntyp = 3
/
ATOMIC_SPECIES
Dy 162.50 Dy.upf
Y 88.91 Y.upf
Cd 112.41 Cd.upf
CELL_PARAMETERS angstrom
5.253 0.000 0.000
-2.626 4.549 0.000
0.000 0.000 3.577
ATOMIC_POSITIONS crystal
Dy 0.000 0.000 0.000
Y 0.333 0.667 0.444
Cd 0.667 0.333 0.734


Stability check: which of them is most stable? i.


## i
! PBE-GGA DyYCd, relaxed; values from VASP
! Crystal system: orthorhombic
! Symmetry: No. 63
&SYSTEM
  ibrav = 0, nat = 6, ntyp = 3
/
ATOMIC_SPECIES
Dy 162.50 Dy.upf
Y 88.91 Y.upf
Cd 112.41 Cd.upf
CELL_PARAMETERS angstrom
1.688 -8.887 0.000
1.688 8.887 0.000
0.000 0.000 5.985
ATOMIC_POSITIONS crystal
Dy 0.000 0.000 0.000
Dy 0.000 0.000 0.500
Y 0.338 0.662 0.750
Y 0.662 0.338 0.250
Cd 0.159 0.841 0.750
Cd 0.841 0.159 0.250


## ii
! PBE-GGA DyYCd, relaxed; values from VASP
! Crystal system: orthorhombic
! Symmetry: No. 38
&SYSTEM
  ibrav = 0, nat = 6, ntyp = 3
/
ATOMIC_SPECIES
Dy 162.50 Dy.upf
Y 88.91 Y.upf
Cd 112.41 Cd.upf
CELL_PARAMETERS angstrom
3.593 0.000 0.000
0.000 1.775 13.593
0.000 -1.775 13.593
ATOMIC_POSITIONS crystal
Dy 0.000 0.000 0.000
Dy 0.500 0.410 0.410
Y 0.500 0.111 0.111
Y 0.500 0.259 0.259
Cd 0.000 0.685 0.685
Cd 0.000 0.833 0.833


## iii
! PBE-GGA DyYCd, relaxed; values from VASP
! Crystal system: cubic
! Symmetry: No. 216
&SYSTEM
  ibrav = 0, nat = 3, ntyp = 3
/
ATOMIC_SPECIES
Dy 162.50 Dy.upf
Y 88.91 Y.upf
Cd 112.41 Cd.upf
CELL_PARAMETERS angstrom
0.000 3.642 3.642
3.642 0.000 3.642
3.642 3.642 0.000
ATOMIC_POSITIONS crystal
Dy 0.000 0.000 0.000
Y 0.500 0.500 0.500
Cd 0.750 0.750 0.750


Stability check: which of them is most stable? ii.


## i
! PBE-GGA DyY3Cd2, relaxed; values from VASP
! Crystal system: orthorhombic
! Symmetry: No. 26
&SYSTEM
  ibrav = 0, nat = 12, ntyp = 3
/
ATOMIC_SPECIES
Dy 162.50 Dy.upf
Y 88.91 Y.upf
Cd 112.41 Cd.upf
CELL_PARAMETERS angstrom
5.233 0.000 0.000
0.000 9.447 0.000
0.000 0.000 6.907
ATOMIC_POSITIONS crystal
Dy 0.000 0.047 0.000
Dy 0.000 0.953 0.500
Y 0.000 0.322 0.659
Y 0.000 0.678 0.159
Y 0.500 0.177 0.302
Y 0.500 0.454 0.962
Y 0.500 0.546 0.462
Y 0.500 0.823 0.802
Cd 0.000 0.351 0.206
Cd 0.000 0.649 0.706
Cd 0.500 0.149 0.756
Cd 0.500 0.851 0.256


## ii
! PBE-GGA DyY3Cd2, relaxed; values from VASP
! Crystal system: tetragonal
! Symmetry: No. 123
&SYSTEM
  ibrav = 0, nat = 6, ntyp = 3
/
ATOMIC_SPECIES
Dy 162.50 Dy.upf
Y 88.91 Y.upf
Cd 112.41 Cd.upf
CELL_PARAMETERS angstrom
3.676 0.000 0.000
0.000 3.676 0.000
0.000 0.000 12.641
ATOMIC_POSITIONS crystal
Dy 0.000 0.000 0.000
Y 0.500 0.500 0.194
Y 0.500 0.500 0.500
Y 0.500 0.500 0.806
Cd 0.000 0.000 0.348
Cd 0.000 0.000 0.652


Stability check: which of them is most stable? i.


## i
! PBE-GGA Dy2YCd, relaxed; values from VASP
! Crystal system: orthorhombic
! Symmetry: No. 63
&SYSTEM
  ibrav = 0, nat = 8, ntyp = 3
/
ATOMIC_SPECIES
Dy 162.50 Dy.upf
Y 88.91 Y.upf
Cd 112.41 Cd.upf
CELL_PARAMETERS angstrom
1.804 -6.347 0.000
1.804 6.347 0.000
0.000 0.000 10.245
ATOMIC_POSITIONS crystal
Dy 0.131 0.869 0.535
Dy 0.131 0.869 0.965
Dy 0.869 0.131 0.035
Dy 0.869 0.131 0.465
Y 0.462 0.538 0.750
Y 0.538 0.462 0.250
Cd 0.255 0.745 0.250
Cd 0.745 0.255 0.750


## ii
! PBE-GGA Dy2YCd, relaxed; values from VASP
! Crystal system: trigonal
! Symmetry: No. 166
&SYSTEM
  ibrav = 0, nat = 4, ntyp = 3
/
ATOMIC_SPECIES
Dy 162.50 Dy.upf
Y 88.91 Y.upf
Cd 112.41 Cd.upf
CELL_PARAMETERS angstrom
1.787 1.032 10.808
-1.787 1.032 10.808
0.000 -2.063 10.808
ATOMIC_POSITIONS crystal
Dy 0.244 0.244 0.244
Dy 0.756 0.756 0.756
Y 0.000 0.000 0.000
Cd 0.500 0.500 0.500


Stability check: which of them is most stable? i.


## i
! PBE-GGA Dy2YCd, relaxed; values from VASP
! Crystal system: orthorhombic
! Symmetry: No. 71
&SYSTEM
  ibrav = 0, nat = 4, ntyp = 3
/
ATOMIC_SPECIES
Dy 162.50 Dy.upf
Y 88.91 Y.upf
Cd 112.41 Cd.upf
CELL_PARAMETERS angstrom
-1.901 2.681 5.719
1.901 -2.681 5.719
1.901 2.681 -5.719
ATOMIC_POSITIONS crystal
Dy 0.223 0.223 0.000
Dy 0.777 0.777 0.000
Y 0.500 0.000 0.500
Cd 0.000 0.500 0.500


## ii
! PBE-GGA Dy2YCd, relaxed; values from VASP
! Crystal system: tetragonal
! Symmetry: No. 123
&SYSTEM
  ibrav = 0, nat = 4, ntyp = 3
/
ATOMIC_SPECIES
Dy 162.50 Dy.upf
Y 88.91 Y.upf
Cd 112.41 Cd.upf
CELL_PARAMETERS angstrom
4.842 0.000 0.000
0.000 4.842 0.000
0.000 0.000 4.870
ATOMIC_POSITIONS crystal
Dy 0.000 0.500 0.000
Dy 0.500 0.000 0.000
Y 0.000 0.000 0.500
Cd 0.500 0.500 0.500


Stability check: which of them is most stable? i.


## i
! PBE-GGA Dy2YCd, relaxed; values from VASP
! Crystal system: tetragonal
! Symmetry: No. 123
&SYSTEM
  ibrav = 0, nat = 4, ntyp = 3
/
ATOMIC_SPECIES
Dy 162.50 Dy.upf
Y 88.91 Y.upf
Cd 112.41 Cd.upf
CELL_PARAMETERS angstrom
5.385 0.000 0.000
0.000 5.385 0.000
0.000 0.000 3.974
ATOMIC_POSITIONS crystal
Dy 0.000 0.500 0.000
Dy 0.500 0.000 0.000
Y 0.000 0.000 0.500
Cd 0.500 0.500 0.500


## ii
! PBE-GGA Dy2YCd, relaxed; values from VASP
! Crystal system: trigonal
! Symmetry: No. 160
&SYSTEM
  ibrav = 0, nat = 4, ntyp = 3
/
ATOMIC_SPECIES
Dy 162.50 Dy.upf
Y 88.91 Y.upf
Cd 112.41 Cd.upf
CELL_PARAMETERS angstrom
1.807 1.043 10.713
-1.807 1.043 10.713
0.000 -2.086 10.713
ATOMIC_POSITIONS crystal
Dy 0.000 0.000 0.000
Dy 0.178 0.178 0.178
Y 0.756 0.756 0.756
Cd 0.589 0.589 0.589


## iii
! PBE-GGA Dy2YCd, relaxed; values from VASP
! Crystal system: tetragonal
! Symmetry: No. 123
&SYSTEM
  ibrav = 0, nat = 4, ntyp = 3
/
ATOMIC_SPECIES
Dy 162.50 Dy.upf
Y 88.91 Y.upf
Cd 112.41 Cd.upf
CELL_PARAMETERS angstrom
3.595 0.000 0.000
0.000 3.595 0.000
0.000 0.000 9.049
ATOMIC_POSITIONS crystal
Dy 0.000 0.000 0.226
Dy 0.000 0.000 0.774
Y 0.500 0.500 0.500
Cd 0.500 0.500 0.000


## iv
! PBE-GGA Dy2YCd, relaxed; values from VASP
! Crystal system: cubic
! Symmetry: No. 225
&SYSTEM
  ibrav = 0, nat = 4, ntyp = 3
/
ATOMIC_SPECIES
Dy 162.50 Dy.upf
Y 88.91 Y.upf
Cd 112.41 Cd.upf
CELL_PARAMETERS angstrom
0.000 3.853 3.853
3.853 0.000 3.853
3.853 3.853 0.000
ATOMIC_POSITIONS crystal
Dy 0.250 0.250 0.250
Dy 0.750 0.750 0.750
Y 0.000 0.000 0.000
Cd 0.500 0.500 0.500


Stability check: which of them is most stable? iii.